VASP calculation (PBE) on SrSmAu2 after structural relaxation.

density	9.8	g/cm3
E_form	-777	meV per atom
VASP energy	-16.1	eV/f.u.

Cell lengths 3.760, 3.760, 7.552 Å; angles 90.00, 90.00, 90.00 degrees
Space group P4/mmm (No. 123)
Symmetry-distinct sites (fractional):
Sr 0.000 0.000 0.000
Sm 0.000 0.000 0.500
Au 0.500 0.500 0.284